Record 1
Compound: ScCo2Hg
Source: the Alexandria database
Functional: GGA-PBE
Structure: optimized geometry

Lattice parameters (Å, degrees): 4.0115 4.0115 17.7359 90.00 90.00 90.00
Space group I-42d (No. 122)
Symmetry-distinct sites (fractional):
Sc: 0.0000 0.0000 0.0000 x4
Co: 0.1640 0.2500 0.1250 x8
Hg: 0.0000 0.0000 0.5000 x4

Fermi-level density of states	15.005	states/eV/cell
VASP energy	-4.80	eV/atom
calculated formation energy	413	meV per atom

=====

Record 2
Compound: Ca2AcLaPb4
Source: the Alexandria database
Functional: GGA-PBE
Structure: optimized geometry

Lattice parameters (Å, degrees): 5.6966 5.6966 27.8501 90.00 90.00 120.00
Space group R-3m (No. 166, hexagonal axes)
Symmetry-distinct sites (fractional):
Ca: 0.0000 0.0000 0.2502 x6
Ac: 0.0000 0.0000 0.5000 x3
La: 0.0000 0.0000 0.0000 x3
Pb: 0.0000 0.0000 0.1232 x6
Pb: 0.0000 0.0000 0.3734 x6

Fermi-level density of states	13.638	states/eV/cell
VASP energy	-3.98	eV/atom
calculated formation energy	-501	meV per atom

=====

Record 3
Compound: NaLi3H8N4
Source: the Alexandria database
Functional: GGA-PBE
Structure: optimized geometry

Lattice parameters (Å, degrees): 5.0764 5.0764 11.6467 90.00 90.00 90.00
Space group I-4 (No. 82)
Symmetry-distinct sites (fractional):
Na: 0.0000 0.0000 0.0000 x2
Li: 0.0000 0.0000 0.2387 x4
Li: 0.0000 0.5000 0.2500 x2
H: 0.0814 0.3283 0.6402 x8
H: 0.1015 0.7457 0.4184 x8
N: 0.2336 0.7408 0.3513 x8

Fermi-level density of states	0.000	states/eV/cell
VASP energy	-4.69	eV/atom